[1]
Material: ScTaIn2Mo
Method: DFT, GGA-PBE
State: optimized geometry

The value obtained for the density of states at the Fermi level is 1.57 states/eV per atom. Its total magnetization is 0.000 μB per atom. The energy of formation is 1.248 eV per atom.

Cell lengths 5.1744, 5.1744, 4.6743 Å; angles 90.00, 90.00, 90.00 degrees
Sites, in units of the cell vectors:
Sc 0.0000 0.0000 0.0000
Ta 0.5000 0.5000 0.0000
In 0.0000 0.5000 0.5000
In 0.5000 0.0000 0.5000
Mo 0.0000 0.0000 0.5000


[2]
Material: ScTiInMo
Method: DFT, GGA-PBE
State: optimized geometry

The value obtained for the density of states at the Fermi level is 0.53 states/eV per atom. Its total magnetization is 0.000 μB per atom. The energy of formation is -0.108 eV per atom.

Cell lengths 6.6664, 6.6664, 6.6664 Å; angles 90.00, 90.00, 90.00 degrees
Sites, in units of the cell vectors:
Sc 0.0000 0.0000 0.0000
Sc 0.0000 0.5000 0.5000
Sc 0.5000 0.0000 0.5000
Sc 0.5000 0.5000 0.0000
Ti 0.0000 0.0000 0.5000
Ti 0.0000 0.5000 0.0000
Ti 0.5000 0.0000 0.0000
Ti 0.5000 0.5000 0.5000
In 0.2500 0.2500 0.2500
In 0.2500 0.7500 0.7500
In 0.7500 0.2500 0.7500
In 0.7500 0.7500 0.2500
Mo 0.2500 0.2500 0.7500
Mo 0.2500 0.7500 0.2500
Mo 0.7500 0.2500 0.2500
Mo 0.7500 0.7500 0.7500


[3]
Material: ScTlIn2Mo
Method: DFT, GGA-PBE
State: optimized geometry

The value obtained for the density of states at the Fermi level is 0.98 states/eV per atom. Its total magnetization is 0.255 μB per atom. The energy of formation is 0.641 eV per atom.

Cell lengths 5.2768, 5.2768, 5.3665 Å; angles 90.00, 90.00, 90.00 degrees
Sites, in units of the cell vectors:
Sc 0.0000 0.0000 0.0000
Tl 0.5000 0.5000 0.0000
In 0.0000 0.5000 0.5000
In 0.5000 0.0000 0.5000
Mo 0.5000 0.5000 0.5000


[4]
Material: Sc2VInMo
Method: DFT, GGA-PBE
State: optimized geometry

The value obtained for the density of states at the Fermi level is 0.99 states/eV per atom. Its total magnetization is 0.178 μB per atom. The energy of formation is 0.571 eV per atom.

Cell lengths 5.1308, 5.1308, 4.4961 Å; angles 90.00, 90.00, 90.00 degrees
Sites, in units of the cell vectors:
Sc 0.0000 0.5000 0.0000
Sc 0.5000 0.0000 0.0000
V 0.0000 0.0000 0.5000
In 0.5000 0.5000 0.5000
Mo 0.0000 0.0000 0.0000


- The highest energy of formation belongs to which entry?
  ScTaIn2Mo


- Among the records above, which one has the highest energy of formation?
  ScTaIn2Mo